# PBE-GGA Hf3SbMo, relaxed
# * total magnetization: 0.0 μB/cell
# * excess energy over the best structure of this formula in the dataset: 1659 meV per atom
# * symmetry: No. 221
# * uncorrected formation energy: 1.426 eV/atom
data_Hf3SbMo
_chemical_formula_sum 'Hf3 Sb1 Mo1'
_symmetry_space_group_name_H-M 'P 1'
_symmetry_Int_Tables_number 1
_cell_length_a 5.120
_cell_length_b 5.120
_cell_length_c 5.120
_cell_angle_alpha 90.00
_cell_angle_beta 90.00
_cell_angle_gamma 90.00
loop_
_symmetry_equiv_pos_as_xyz
'x,y,z'
loop_
_atom_site_label
_atom_site_type_symbol
_atom_site_fract_x
_atom_site_fract_y
_atom_site_fract_z
Hf1 Hf 0.000 0.000 0.500
Hf2 Hf 0.000 0.500 0.000
Hf3 Hf 0.500 0.000 0.000
Sb1 Sb 0.000 0.000 0.000
Mo1 Mo 0.500 0.500 0.500